# BaTbTmSe3

A relaxed structure of BaTbTmSe3 (PBE-GGA, OQMD via LeMat-Bulk). Values from VASP.

Output
magnetic moment	1.9	μB/cell
electronic total energy	-5.195	eV/atom

Structure (Quantum ESPRESSO input):
```
&SYSTEM
  ibrav = 0, nat = 12, ntyp = 4
/
ATOMIC_SPECIES
Tm 168.93 Tm.upf
Ba 137.33 Ba.upf
Tb 158.93 Tb.upf
Se 78.96 Se.upf
ATOMIC_POSITIONS angstrom
Tm 2.173 0.493 2.733
Tm 0.000 6.897 8.200
Ba 0.000 3.764 2.733
Ba 2.173 3.626 8.200
Tb 0.000 0.000 5.467
Tb 0.000 0.000 0.000
Se 2.173 2.004 0.519
Se 0.000 5.386 5.986
Se 0.000 5.386 10.415
Se 0.000 1.214 8.200
Se 2.173 6.176 2.733
Se 2.173 2.004 4.948
CELL_PARAMETERS angstrom
4.347 0.000 0.000
-2.173 7.390 0.000
0.000 0.000 10.934
```


# BaTbZnSe3

A relaxed structure of BaTbZnSe3 (PBE-GGA, OQMD via LeMat-Bulk). Values from VASP.

Output
magnetic moment	0.0	μB/cell
electronic total energy	-4.485	eV/atom

Structure (Quantum ESPRESSO input):
```
&SYSTEM
  ibrav = 0, nat = 12, ntyp = 4
/
ATOMIC_SPECIES
Tb 158.93 Tb.upf
Zn 65.41 Zn.upf
Ba 137.33 Ba.upf
Se 78.96 Se.upf
ATOMIC_POSITIONS angstrom
Tb 2.203 0.000 0.000
Tb 2.203 0.000 5.383
Zn 2.203 6.739 2.691
Zn 2.203 -6.739 8.074
Ba 2.203 -3.474 2.691
Ba 2.203 3.474 8.074
Se 2.203 1.012 2.691
Se 2.203 -1.012 8.074
Se 2.203 5.156 4.669
Se 2.203 5.156 0.714
Se 2.203 -5.156 10.052
Se 2.203 -5.156 6.097
CELL_PARAMETERS angstrom
2.203 -7.009 0.000
2.203 7.009 0.000
0.000 0.000 10.766
```


# Ba2YTcSe6

A relaxed structure of Ba2YTcSe6 (PBE-GGA, OQMD via LeMat-Bulk). Values from VASP.

Output
distance to the lowest polymorph of the same formula	0.0000	eV/atom
magnetic moment	2.2	μB/cell

Structure (Quantum ESPRESSO input):
```
&SYSTEM
  ibrav = 0, nat = 10, ntyp = 4
/
ATOMIC_SPECIES
Se 78.96 Se.upf
Y 88.91 Y.upf
Ba 137.33 Ba.upf
Tc 98.00 Tc.upf
ATOMIC_POSITIONS angstrom
Se 1.633 0.000 1.939
Se 4.997 -1.867 1.197
Se 6.684 0.000 4.248
Se 3.320 1.867 4.991
Se 4.997 1.867 1.197
Se 3.320 -1.867 4.991
Y 4.158 0.000 3.094
Ba 8.474 0.000 1.512
Ba -0.157 0.000 4.675
Tc 0.000 0.000 0.000
CELL_PARAMETERS angstrom
6.377 -3.623 0.000
6.377 3.623 0.000
-4.438 0.000 6.188
```


# Ba2YTcSe6

A relaxed structure of Ba2YTcSe6 (PBE-GGA, OQMD via LeMat-Bulk). Values from VASP.

Output
distance to the lowest polymorph of the same formula	0.0267	eV/atom
magnetic moment	3.0	μB/cell

Structure (Quantum ESPRESSO input):
```
&SYSTEM
  ibrav = 0, nat = 10, ntyp = 4
/
ATOMIC_SPECIES
Tc 98.00 Tc.upf
Ba 137.33 Ba.upf
Se 78.96 Se.upf
Y 88.91 Y.upf
ATOMIC_POSITIONS angstrom
Tc 0.000 0.000 0.000
Ba 0.000 3.696 2.612
Ba 3.696 0.000 2.612
Se 5.569 1.704 0.000
Se 0.000 0.000 2.492
Se -1.873 1.991 5.224
Se 1.704 1.822 0.000
Se 0.000 0.000 7.956
Se 1.991 1.873 5.224
Y 0.000 0.000 5.224
CELL_PARAMETERS angstrom
-3.696 3.696 5.224
3.696 -3.696 5.224
3.696 3.696 -5.224
```


# Ba2YTcSe6

A relaxed structure of Ba2YTcSe6 (PBE-GGA, OQMD via LeMat-Bulk). Values from VASP.

Output
distance to the lowest polymorph of the same formula	0.0013	eV/atom
magnetic moment	2.2	μB/cell

Structure (Quantum ESPRESSO input):
```
&SYSTEM
  ibrav = 0, nat = 10, ntyp = 4
/
ATOMIC_SPECIES
Se 78.96 Se.upf
Ba 137.33 Ba.upf
Y 88.91 Y.upf
Tc 98.00 Tc.upf
ATOMIC_POSITIONS angstrom
Se -7.155 -1.894 1.101
Se -5.760 -2.557 4.939
Se -8.681 -0.955 6.007
Se -3.739 -0.539 2.302
Se -12.097 -2.310 4.806
Se -10.076 -0.292 2.169
Ba -8.880 -3.747 4.139
Ba -6.957 0.898 2.969
Y -4.927 -3.040 2.330
Tc -2.992 1.616 1.224
CELL_PARAMETERS angstrom
-5.983 3.232 2.448
-6.449 -3.171 -1.142
-3.404 -2.910 5.803
```


# Ba2YTcSe6

A relaxed structure of Ba2YTcSe6 (PBE-GGA, OQMD via LeMat-Bulk). Values from VASP.

Output
distance to the lowest polymorph of the same formula	0.0275	eV/atom
magnetic moment	3.0	μB/cell

Structure (Quantum ESPRESSO input):
```
&SYSTEM
  ibrav = 0, nat = 10, ntyp = 4
/
ATOMIC_SPECIES
Se 78.96 Se.upf
Ba 137.33 Ba.upf
Tc 98.00 Tc.upf
Y 88.91 Y.upf
ATOMIC_POSITIONS angstrom
Se 0.000 0.000 7.957
Se -1.931 1.931 5.226
Se 1.931 -1.931 5.226
Se 0.000 0.000 2.495
Se 1.764 1.764 0.000
Se 1.931 1.931 5.226
Ba 3.695 0.000 2.613
Ba 0.000 3.695 2.613
Tc 0.000 0.000 0.000
Y 0.000 0.000 5.226
CELL_PARAMETERS angstrom
-3.695 3.695 5.226
3.695 -3.695 5.226
3.695 3.695 -5.226
```


# Ba2YTcSe6

A relaxed structure of Ba2YTcSe6 (PBE-GGA, OQMD via LeMat-Bulk). Values from VASP.

Output
distance to the lowest polymorph of the same formula	0.0008	eV/atom
magnetic moment	2.1	μB/cell

Structure (Quantum ESPRESSO input):
```
&SYSTEM
  ibrav = 0, nat = 10, ntyp = 4
/
ATOMIC_SPECIES
Se 78.96 Se.upf
Ba 137.33 Ba.upf
Y 88.91 Y.upf
Tc 98.00 Tc.upf
ATOMIC_POSITIONS angstrom
Se 5.622 8.580 0.401
Se 8.120 6.236 -0.750
Se 5.354 5.149 1.134
Se 5.622 4.376 -2.389
Se 5.889 7.808 -3.120
Se 3.122 6.722 -1.237
Ba 8.421 9.705 -1.488
Ba 2.821 3.251 -0.499
Y 11.246 12.961 -1.987
Tc 5.622 6.479 -0.994
CELL_PARAMETERS angstrom
4.381 4.434 3.635
6.239 1.781 -3.159
0.631 6.753 -2.465
```


# Ba2ZnTcSe6

A relaxed structure of Ba2ZnTcSe6 (PBE-GGA, OQMD via LeMat-Bulk). Values from VASP.

Output
magnetic moment	1.7	μB/cell
electronic total energy	-4.423	eV/atom

Structure (Quantum ESPRESSO input):
```
&SYSTEM
  ibrav = 0, nat = 10, ntyp = 4
/
ATOMIC_SPECIES
Zn 65.41 Zn.upf
Ba 137.33 Ba.upf
Se 78.96 Se.upf
Tc 98.00 Tc.upf
ATOMIC_POSITIONS angstrom
Zn 5.375 1.037 2.933
Ba 5.375 5.182 1.467
Ba 8.958 3.109 4.399
Se 10.798 6.181 4.351
Se 7.149 2.109 1.434
Se 3.536 2.110 1.515
Se 8.929 5.193 1.417
Se 5.405 3.097 4.450
Se 7.184 6.182 4.433
Tc 1.792 3.108 0.000
CELL_PARAMETERS angstrom
7.174 0.000 0.000
3.584 6.216 0.000
3.576 2.074 5.866
```